[1]
Material: Dy6InHg8
Method: DFT, PBE
State: optimized geometry

a = 7.959 Å, b = 7.959 Å, c = 7.959 Å
α = 67.34°, β = 67.34°, γ = 67.34°
Fractional coordinates of all 15 atoms:
Dy  0.104  0.373  0.820
Dy  0.180  0.896  0.627
Dy  0.373  0.820  0.104
Dy  0.627  0.180  0.896
Dy  0.820  0.104  0.373
Dy  0.896  0.627  0.180
In  0.500  0.500  0.500
Hg  0.066  0.677  0.437
Hg  0.204  0.204  0.204
Hg  0.323  0.563  0.934
Hg  0.437  0.066  0.677
Hg  0.563  0.934  0.323
Hg  0.677  0.437  0.066
Hg  0.796  0.796  0.796
Hg  0.934  0.323  0.563

Computed properties:
**Formation energy from the elements**: -329 meV per atom
**Magnetization**: 0.0 μB per cell
**Calculated total energy**: -2.514 eV/atom

---

[2]
Material: SrCdCl2
Method: DFT, PBE
State: optimized geometry

a = 4.142 Å, b = 4.142 Å, c = 6.978 Å
α = 90.00°, β = 90.00°, γ = 90.00°
Fractional coordinates of all 4 atoms:
Sr  0.000  0.000  0.000
Cd  0.500  0.500  0.399
Cl  0.000  0.000  0.599
Cl  0.500  0.500  0.896

Computed properties:
**Magnetization**: 0.0 μB per cell
**Calculated total energy**: -2.961 eV/atom

---

[3]
Material: Nb4IrSe10
Method: DFT, PBE
State: optimized geometry

a = 6.072 Å, b = 7.672 Å, c = 9.182 Å
α = 65.85°, β = 70.74°, γ = 88.28°
Fractional coordinates of all 15 atoms:
Nb  0.176  0.201  0.294
Nb  0.260  0.598  0.902
Nb  0.740  0.402  0.098
Nb  0.824  0.799  0.706
Ir  0.500  0.000  0.500
Se  0.007  0.454  0.795
Se  0.169  0.943  0.778
Se  0.215  0.850  0.420
Se  0.408  0.348  0.404
Se  0.439  0.260  0.999
Se  0.561  0.740  0.001
Se  0.592  0.652  0.596
Se  0.785  0.150  0.580
Se  0.831  0.057  0.222
Se  0.993  0.546  0.205

Computed properties:
**Magnetization**: 0.0 μB per cell
**Calculated total energy**: -6.314 eV/atom

---

What V values result from the calculations? In sequence: 412 120 366 Å³ per cell.